A geometry-optimized Mn2AsPt structure, computed with PBE-GGA.

As for the excess energy over the best structure of this formula in the dataset: 0.034 eV/atom. The value obtained for the calculated formation energy is -116 meV per atom.

It has space group Cmmm (No. 65), with a = 5.417 Å, b = 7.538 Å, c = 2.929 Å, α = 90.00°, β = 90.00° and γ = 90.00°. The distinct sites, in fractional coordinates, are Mn at (0.250, 0.250, 0.000), As at (0.000, 0.000, 0.500) and Pt at (0.000, 0.500, 0.500).


A geometry-optimized Ti2Be15Pt2 structure, computed with PBE-GGA.

The value obtained for the calculated formation energy is -297 meV per atom.

It has space group R-3m (No. 166, hexagonal axes), with a = 7.6494 Å, b = 7.6494 Å, c = 11.1566 Å, α = 90.00°, β = 90.00° and γ = 120.00°. The distinct sites, in fractional coordinates, are Ti at (0.0000, 0.0000, 0.1451), Be at (0.0000, 0.2918, 0.5000), Be at (0.0000, 0.5000, 0.0000), Be at (0.0118, 0.5059, 0.6571) and Pt at (0.0000, 0.0000, 0.3827).


A geometry-optimized TbSm2Dy4Er2 structure, computed with PBE-GGA.

The value obtained for the calculated formation energy is 7 meV per atom.

It has space group C2/m (No. 12), with a = 18.611 Å, b = 3.589 Å, c = 9.531 Å, α = 90.00°, β = 115.72° and γ = 90.00°. The distinct sites, in fractional coordinates, are Tb at (0.000, 0.000, 0.000), Sm at (0.148, 0.000, 0.667), Dy at (0.019, 0.500, 0.331), Dy at (0.185, 0.000, 0.333) and Er at (0.167, 0.500, 0.001).


A geometry-optimized NpCdNi10 structure, computed with PBE-GGA.

The value obtained for the calculated formation energy is -10 meV per atom.

It has space group Pmmm (No. 47), with a = 3.988 Å, b = 4.817 Å, c = 8.294 Å, α = 90.00°, β = 90.00° and γ = 90.00°. The distinct sites, in fractional coordinates, are Np at (0.000, 0.000, 0.000), Cd at (0.000, 0.500, 0.500), Ni at (0.000, 0.000, 0.334), Ni at (0.000, 0.500, 0.171), Ni at (0.500, 0.000, 0.500), Ni at (0.500, 0.247, 0.248) and Ni at (0.500, 0.500, 0.000).